## Mg2TaSi (GGA-PBE)

Data for a relaxed structure of Mg2TaSi. Values from VASP.

Summary:
As for the crystal system: tetragonal. The formation energy (no corrections) is 0.110 eV per atom.

The structure in Quantum ESPRESSO input format:
```
&SYSTEM
  ibrav = 0, nat = 4, ntyp = 3
/
ATOMIC_SPECIES
Si 28.09 Si.upf
Ta 180.95 Ta.upf
Mg 24.30 Mg.upf
CELL_PARAMETERS angstrom
2.880 0.000 0.000
0.000 2.880 0.000
0.000 0.000 8.910
ATOMIC_POSITIONS crystal
Si 0.000 0.000 0.515
Ta 0.500 0.500 0.723
Mg 0.000 0.000 0.987
Mg 0.500 0.500 0.275
```

---

## CuWBr2 (GGA-PBE)

Data for a relaxed structure of CuWBr2. Values from VASP.

Summary:
The value obtained for the distance to the lowest polymorph of the same formula is 0.705 eV/atom. As for the crystal system: tetragonal. The formation energy (no corrections) is 0.977 eV per atom.

The structure in Quantum ESPRESSO input format:
```
&SYSTEM
  ibrav = 0, nat = 4, ntyp = 3
/
ATOMIC_SPECIES
Br 79.90 Br.upf
W 183.84 W.upf
Cu 63.55 Cu.upf
CELL_PARAMETERS angstrom
3.093 0.000 0.000
0.000 3.093 0.000
0.000 0.000 8.815
ATOMIC_POSITIONS crystal
Br 0.000 0.000 0.936
Br 0.000 0.000 0.564
W 0.500 0.500 0.750
Cu 0.500 0.500 0.250
```

---

## PrNd6Tl (GGA-PBE)

Data for a relaxed structure of PrNd6Tl. Values from VASP.

Summary:
The value obtained for the distance to the lowest polymorph of the same formula is 0.000 eV/atom. As for the crystal system: tetragonal. The formation energy is -0.08 eV per atom.

The structure in Quantum ESPRESSO input format:
```
&SYSTEM
  ibrav = 0, nat = 8, ntyp = 3
/
ATOMIC_SPECIES
Nd 144.24 Nd.upf
Pr 140.91 Pr.upf
Tl 204.38 Tl.upf
CELL_PARAMETERS angstrom
-4.514 1.337 1.835
-0.697 -4.703 1.710
4.481 2.644 9.095
ATOMIC_POSITIONS crystal
Nd 0.000 0.500 0.758
Nd 0.500 0.000 0.242
Nd 0.000 0.500 0.242
Nd 0.500 0.500 0.500
Nd 0.500 0.500 0.000
Nd 0.500 0.000 0.758
Pr 0.000 0.000 0.500
Tl 0.000 0.000 0.000
```

---

## Hf2CoAu (GGA-PBE)

Data for a relaxed structure of Hf2CoAu. Values from VASP.

Summary:
The value obtained for the distance to the lowest polymorph of the same formula is 0.465 eV/atom. As for the crystal system: tetragonal. The formation energy is 0.01 eV per atom.

The structure in Quantum ESPRESSO input format:
```
&SYSTEM
  ibrav = 0, nat = 8, ntyp = 3
/
ATOMIC_SPECIES
Hf 178.49 Hf.upf
Au 196.97 Au.upf
Co 58.93 Co.upf
CELL_PARAMETERS angstrom
7.268 0.000 0.000
0.000 7.268 0.000
3.634 3.634 2.812
ATOMIC_POSITIONS crystal
Hf 0.585 0.125 0.250
Hf 0.165 0.625 0.250
Hf 0.375 0.415 0.750
Hf 0.875 0.835 0.750
Au 0.750 0.250 0.500
Au 0.000 0.000 0.000
Co 0.500 0.500 0.000
Co 0.250 0.750 0.500
```

---

## Ta2TlRe (GGA-PBE)

Data for a relaxed structure of Ta2TlRe. Values from VASP.

Summary:
The value obtained for the distance to the lowest polymorph of the same formula is 0.198 eV/atom. As for the crystal system: tetragonal. The formation energy is 0.40 eV per atom.

The structure in Quantum ESPRESSO input format:
```
&SYSTEM
  ibrav = 0, nat = 4, ntyp = 3
/
ATOMIC_SPECIES
Tl 204.38 Tl.upf
Re 186.21 Re.upf
Ta 180.95 Ta.upf
CELL_PARAMETERS angstrom
-0.857 -4.051 0.102
2.355 -0.583 -3.361
3.330 -0.643 2.445
ATOMIC_POSITIONS crystal
Tl 0.500 0.000 0.500
Re 0.000 0.500 0.500
Ta 0.500 0.500 0.000
Ta 0.000 0.000 0.000
```

---

## BaHgI4 (GGA-PBE)

Data for a relaxed structure of BaHgI4. Values from VASP.

Summary:
The value obtained for the distance to the lowest polymorph of the same formula is 0.005 eV/atom. As for the crystal system: monoclinic. The formation energy (no corrections) is -1.003 eV per atom.

The structure in Quantum ESPRESSO input format:
```
&SYSTEM
  ibrav = 0, nat = 12, ntyp = 3
/
ATOMIC_SPECIES
Hg 200.59 Hg.upf
I 126.90 I.upf
Ba 137.33 Ba.upf
CELL_PARAMETERS angstrom
-6.648 1.123 -2.879
2.089 -2.447 8.477
0.535 10.890 3.012
ATOMIC_POSITIONS crystal
Hg 0.004 0.917 0.250
Hg 0.996 0.083 0.750
I 0.995 0.296 0.941
I 0.600 0.889 0.250
I 0.400 0.111 0.750
I 0.005 0.704 0.441
I 0.995 0.296 0.559
I 0.406 0.293 0.250
I 0.005 0.704 0.059
I 0.594 0.707 0.750
Ba 0.999 0.606 0.750
Ba 0.001 0.394 0.250
```

---

## CsRu3O12 (GGA-PBE)

Data for a relaxed structure of CsRu3O12. Values from VASP.

Summary:
As for the crystal system: trigonal. The formation energy (no corrections) is -0.810 eV per atom.

The structure in Quantum ESPRESSO input format:
```
&SYSTEM
  ibrav = 0, nat = 32, ntyp = 3
/
ATOMIC_SPECIES
O 16.00 O.upf
Cs 132.91 Cs.upf
Ru 101.07 Ru.upf
CELL_PARAMETERS angstrom
8.532 0.000 4.120
3.271 7.880 4.120
-1.042 -0.696 13.054
ATOMIC_POSITIONS crystal
O 0.394 0.827 0.118
O 0.607 0.635 0.520
O 0.406 0.914 0.385
O 0.135 0.107 0.020
O 0.414 0.906 0.885
O 0.635 0.237 0.520
O 0.237 0.607 0.520
O 0.906 0.795 0.885
O 0.465 0.447 0.978
O 0.447 0.110 0.978
O 0.110 0.465 0.978
O 0.661 0.394 0.118
O 0.914 0.295 0.385
O 0.107 0.737 0.020
O 0.327 0.894 0.618
O 0.737 0.135 0.020
O 0.295 0.406 0.385
O 0.965 0.610 0.478
O 0.795 0.414 0.885
O 0.827 0.661 0.118
O 0.610 0.947 0.478
O 0.161 0.327 0.618
O 0.947 0.965 0.478
O 0.894 0.161 0.618
Cs 0.064 0.064 0.808
Cs 0.564 0.564 0.308
Ru 0.849 0.163 0.501
Ru 0.349 0.987 0.001
Ru 0.163 0.487 0.501
Ru 0.487 0.849 0.501
Ru 0.663 0.349 0.001
Ru 0.987 0.663 0.001
```

---

## YBrNF2 (GGA-PBE)

Data for a relaxed structure of YBrNF2. Values from VASP.

Summary:
The value obtained for the distance to the lowest polymorph of the same formula is 0.000 eV/atom. As for the crystal system: tetragonal. The formation energy (no corrections) is -1.587 eV per atom.

The structure in Quantum ESPRESSO input format:
```
&SYSTEM
  ibrav = 0, nat = 5, ntyp = 4
/
ATOMIC_SPECIES
F 19.00 F.upf
Y 88.91 Y.upf
Br 79.90 Br.upf
N 14.01 N.upf
CELL_PARAMETERS angstrom
4.293 0.000 0.000
0.000 4.293 0.000
0.000 0.000 5.087
ATOMIC_POSITIONS crystal
F 0.000 0.500 0.000
F 0.500 0.000 0.000
Y 0.000 0.000 0.000
Br 0.500 0.500 0.500
N 0.000 0.000 0.500
```

---

## BaPtW (GGA-PBE)

Data for a relaxed structure of BaPtW. Values from VASP.

Summary:
The value obtained for the distance to the lowest polymorph of the same formula is 0.000 eV/atom. As for the crystal system: trigonal. The formation energy is 0.04 eV per atom.

The structure in Quantum ESPRESSO input format:
```
&SYSTEM
  ibrav = 0, nat = 6, ntyp = 3
/
ATOMIC_SPECIES
W 183.84 W.upf
Ba 137.33 Ba.upf
Pt 195.08 Pt.upf
CELL_PARAMETERS angstrom
4.313 -0.001 0.001
-2.149 11.508 0.001
2.157 0.404 3.714
ATOMIC_POSITIONS crystal
W 0.542 0.516 0.572
W 0.145 0.420 0.271
Ba 0.378 0.770 0.155
Ba 0.309 0.167 0.689
Pt 0.924 0.590 0.881
Pt 0.763 0.347 0.962
```

---

## Sm2HoAg (GGA-PBE)

Data for a relaxed structure of Sm2HoAg. Values from VASP.

Summary:
The value obtained for the distance to the lowest polymorph of the same formula is 0.107 eV/atom. As for the crystal system: trigonal. The formation energy is 0.00 eV per atom.

The structure in Quantum ESPRESSO input format:
```
&SYSTEM
  ibrav = 0, nat = 4, ntyp = 3
/
ATOMIC_SPECIES
Sm 150.36 Sm.upf
Ag 107.87 Ag.upf
Ho 164.93 Ho.upf
CELL_PARAMETERS angstrom
-0.423 2.958 2.040
-3.293 0.930 1.177
0.233 -4.481 9.754
ATOMIC_POSITIONS crystal
Sm 0.257 0.257 0.228
Sm 0.076 0.076 0.772
Ag 0.667 0.667 0.999
Ho 0.500 0.500 0.501
```

---

## Ti4NiRh3 (GGA-PBE)

Data for a relaxed structure of Ti4NiRh3. Values from VASP.

Summary:
As for the crystal system: tetragonal. The formation energy is -0.64 eV per atom.

The structure in Quantum ESPRESSO input format:
```
&SYSTEM
  ibrav = 0, nat = 8, ntyp = 3
/
ATOMIC_SPECIES
Ni 58.69 Ni.upf
Rh 102.91 Rh.upf
Ti 47.87 Ti.upf
CELL_PARAMETERS angstrom
-2.458 1.406 1.249
-1.612 -0.514 -2.592
-3.856 -10.771 4.535
ATOMIC_POSITIONS crystal
Ni 0.500 0.500 0.000
Rh 0.500 0.500 0.500
Rh 0.500 0.500 0.246
Rh 0.500 0.500 0.754
Ti 0.000 0.000 0.118
Ti 0.000 0.000 0.628
Ti 0.000 0.000 0.372
Ti 0.000 0.000 0.882
```

---

## Cs3YTh3Te8 (GGA-PBE)

Data for a relaxed structure of Cs3YTh3Te8. Values from VASP.

Summary:
As for the crystal system: trigonal. The formation energy (no corrections) is -1.253 eV per atom.

The structure in Quantum ESPRESSO input format:
```
&SYSTEM
  ibrav = 0, nat = 15, ntyp = 4
/
ATOMIC_SPECIES
Th 232.04 Th.upf
Te 127.60 Te.upf
Cs 132.91 Cs.upf
Y 88.91 Y.upf
CELL_PARAMETERS angstrom
-3.548 7.818 2.650
-0.056 -7.068 5.544
9.452 4.695 -1.197
ATOMIC_POSITIONS crystal
Th 0.000 0.500 0.500
Th 0.500 0.500 0.500
Th 0.500 0.000 0.500
Te 0.266 0.533 0.299
Te 0.266 0.036 0.306
Te 0.734 0.964 0.694
Te 0.770 0.540 0.306
Te 0.230 0.964 0.694
Te 0.770 0.036 0.306
Te 0.230 0.460 0.694
Te 0.734 0.467 0.701
Cs 0.000 0.000 0.000
Cs 0.500 0.500 0.000
Cs 0.000 0.500 0.000
Y 0.000 0.000 0.500
```